A plane-wave DFT calculation with PBE was carried out for crystalline Pu2Si6NiRh at its relaxed geometry.

Summary:
Total DFT energy (no corrections)   -0.5762 Ry per atom
E_form (uncorrected)   -4.06 eV/f.u.
Theoretical density   7.7 g/cm3

Unit cell a=5.8196 b=5.8196 c=12.4703 alpha=76.51 beta=76.51 gamma=60.00
Last column: nearest neighbours and their distance in Å.
Fractional coordinates of all 20 atoms:
1 Pu 0.8732 0.8732 0.3803  12 Si 2.93-3.08
2 Pu 0.1268 0.1268 0.6197  12 Si 2.93-3.08
3 Pu 0.7202 0.7202 0.8394  9 Si 2.93-3.09
4 Pu 0.2798 0.2798 0.1606  9 Si 2.93-3.09
5 Si 0.9304 0.3395 0.3906  2 Si 2.38, 1 Ni 2.38, 1 Rh 2.47
6 Si 0.3395 0.9304 0.3906  2 Si 2.38, 1 Ni 2.38, 1 Rh 2.47
7 Si 0.3395 0.3395 0.3906  2 Si 2.38, 1 Ni 2.38, 1 Rh 2.47
8 Si 0.0696 0.6605 0.6094  2 Si 2.38, 1 Ni 2.38, 1 Rh 2.47
9 Si 0.6605 0.0696 0.6094  2 Si 2.38, 1 Ni 2.38, 1 Rh 2.47
10 Si 0.6605 0.6605 0.6094  2 Si 2.38, 1 Ni 2.38, 1 Rh 2.47
11 Si 0.7763 0.1893 0.8451  1 Ni 2.32, 1 Rh 2.40, 2 Si 2.40
12 Si 0.1893 0.7763 0.8451  1 Ni 2.32, 1 Rh 2.40, 2 Si 2.40
13 Si 0.1893 0.1893 0.8451  1 Ni 2.32, 1 Rh 2.40, 2 Si 2.40
14 Si 0.2237 0.8107 0.1549  1 Ni 2.32, 1 Rh 2.40, 2 Si 2.40
15 Si 0.8107 0.2237 0.1549  1 Ni 2.32, 1 Rh 2.40, 2 Si 2.40
16 Si 0.8107 0.8107 0.1549  1 Ni 2.32, 1 Rh 2.40, 2 Si 2.40
17 Ni 0.0000 0.0000 0.0000  6 Si 2.32
18 Ni 0.5000 0.5000 0.5000  6 Si 2.38
19 Rh 0.5773 0.5773 0.2680  6 Si 2.40-2.47
20 Rh 0.4227 0.4227 0.7320  6 Si 2.40-2.47